# Sm6SiO12

A relaxed structure of Sm6SiO12 (PBE, Alexandria via LeMat-Bulk).

- space-group type = R-3, No. 148
- magnetic moment (μB/f.u.) = 2.2
- N(E_F) (states/eV/f.u.) = 12.29
- formation energy from raw total energies (eV/atom) = -3.042

a b c (Å): 6.5660 6.5660 6.5660
angles (deg): 98.84 98.84 98.84
With the nearest neighbours (Å) after each atom.
Sites, in units of the cell vectors:
Sm (0.7027, 0.8596, 0.3928)  5 O 2.26-2.45
Sm (0.6072, 0.2973, 0.1404)  5 O 2.26-2.45
Sm (0.1404, 0.6072, 0.2973)  5 O 2.26-2.45
Sm (0.2973, 0.1404, 0.6072)  5 O 2.26-2.45
Sm (0.3928, 0.7027, 0.8596)  5 O 2.26-2.45
Sm (0.8596, 0.3928, 0.7027)  5 O 2.26-2.45
Si (0.0000, 0.0000, 0.0000)  6 O 1.85
O (0.8229, 0.5569, 0.4064)  4 Sm 2.26-2.36
O (0.4064, 0.8229, 0.5569)  4 Sm 2.26-2.36
O (0.5569, 0.4064, 0.8229)  4 Sm 2.26-2.36
O (0.1771, 0.4431, 0.5936)  4 Sm 2.26-2.36
O (0.5936, 0.1771, 0.4431)  4 Sm 2.26-2.36
O (0.4431, 0.5936, 0.1771)  4 Sm 2.26-2.36
O (0.0652, 0.9711, 0.2766)  1 Si 1.85
O (0.0289, 0.7234, 0.9348)  1 Si 1.85
O (0.7234, 0.9348, 0.0289)  1 Si 1.85
O (0.9348, 0.0289, 0.7234)  1 Si 1.85
O (0.9711, 0.2766, 0.0652)  1 Si 1.85
O (0.2766, 0.0652, 0.9711)  1 Si 1.85